Here is FeAg3 after structural relaxation from Alexandria. Energies are from PBE-GGA.

The structure in CIF format:
```
data_FeAg3
_cell_length_a 4.6715
_cell_length_b 5.8146
_cell_length_c 4.8974
_cell_angle_alpha 90.00
_cell_angle_beta 90.00
_cell_angle_gamma 90.00
_symmetry_space_group_name_H-M 'P m m n'
_symmetry_Int_Tables_number 59
loop_
_symmetry_equiv_pos_as_xyz
'x,y,z'
'-x,-y,-z'
'-x+1/2,-y+1/2,z'
'x+1/2,y+1/2,-z'
'x+1/2,-y,-z'
'-x+1/2,y,z'
'-x,y+1/2,-z'
'x,-y+1/2,z'
loop_
_atom_site_label
_atom_site_fract_x
_atom_site_fract_y
_atom_site_fract_z
Fe1 0.2500 0.2500 0.1666
Ag1 0.2500 0.0012 0.6689
Ag2 0.2500 0.7500 0.1582
```

Results
- total energy (eV per atom) = -3.9132
- formation energy (eV/atom) = 0.3409